(P)
Material: AlAsBr2
Method: DFT, GGA-PBEsol
State: optimized geometry

Results
Magnetization ... 0.00 μB per formula unit

abc: 3.8823 6.2217 8.2833
angles: 90.00 90.00 90.00
Closest atoms and distances in Å follow each position.
Space group Cmm2 (No. 35)
Asymmetric unit:
Al (0.0000, 0.0000, 0.0000)  2 As 2.47, 2 Br 2.63
As (0.0000, 0.5000, 0.8156)  2 Al 2.47, 2 Br 2.71
Br (0.0000, 0.0000, 0.5881)  2 As 2.71
Br (0.0000, 0.5000, 0.2137)  2 Al 2.63

(Q)
Material: AlAsBr2
Method: DFT, GGA-PBEsol
State: optimized geometry

Results
Magnetization ... 0.00 μB per formula unit

abc: 5.2362 3.8804 5.4679
angles: 90.00 105.12 90.00
Closest atoms and distances in Å follow each position.
Space group Pm (No. 6)
Asymmetric unit:
Al (0.0000, 0.0000, 0.0000)  1 Br 2.33, 2 As 2.47
As (0.2389, 0.5000, 0.2333)  2 Al 2.47, 1 Br 2.48
Br (0.5562, 0.5000, 0.9671)  1 As 2.48
Br (0.8829, 0.0000, 0.5580)  1 Al 2.33

(R)
Material: AlAsBr2
Method: DFT, GGA-PBEsol
State: optimized geometry

Results
Magnetization ... 0.00 μB per formula unit

abc: 10.2345 10.2345 4.8183
angles: 90.00 90.00 90.00
Closest atoms and distances in Å follow each position.
Space group I-42d (No. 122)
Asymmetric unit:
Al (0.0000, 0.0000, 0.0000)  2 As 2.41, 4 Br 2.63
As (0.0000, 0.0000, 0.5000)  2 Al 2.41
Br (0.0094, 0.2500, 0.1250)  2 Al 2.63

(S)
Material: AlAsBr2
Method: DFT, GGA-PBEsol
State: optimized geometry

Results
Magnetization ... 0.00 μB per formula unit

abc: 3.6763 3.6763 7.9804
angles: 90.00 90.00 90.00
Closest atoms and distances in Å follow each position.
Space group P4mm (No. 99)
Asymmetric unit:
Al (0.0000, 0.0000, 0.0000)  1 Br 2.27
As (0.5000, 0.5000, 0.9284)  1 Br 2.34
Br (0.0000, 0.0000, 0.2851)  1 Al 2.27
Br (0.5000, 0.5000, 0.6346)  1 As 2.34

Stability, highest: (S)

(P)
Material: AlCd2As
Method: DFT, GGA-PBEsol
State: optimized geometry

Results
Magnetization ... 0.00 μB per formula unit

abc: 2.8067 5.1928 10.8970
angles: 90.00 90.00 90.00
Closest atoms and distances in Å follow each position.
Space group Immm (No. 71)
Asymmetric unit:
Al (0.0000, 0.0000, 0.0000)  2 Al 2.81, 4 As 2.95, 4 Cd 3.04
Cd (0.0000, 0.5000, 0.2530)  6 Cd 2.81-2.95, 2 Al 3.04, 2 As 3.09
As (0.0000, 0.0000, 0.5000)  2 As 2.81, 4 Al 2.95, 4 Cd 3.09

(Q)
Material: AlCd2As
Method: DFT, GGA-PBEsol
State: optimized geometry

Results
Magnetization ... 0.00 μB per formula unit

abc: 4.3354 4.3354 8.4044
angles: 90.00 90.00 90.00
Closest atoms and distances in Å follow each position.
Space group I-4m2 (No. 119)
Asymmetric unit:
Al (0.0000, 0.0000, 0.0000)  8 Cd 3.02-3.07, 4 As 3.02
Cd (0.0000, 0.0000, 0.5000)  4 Cd 3.02, 4 As 3.02, 4 Al 3.07
Cd (0.0000, 0.5000, 0.7500)  4 Al 3.02, 4 Cd 3.02, 4 As 3.07
As (0.0000, 0.5000, 0.2500)  8 Cd 3.02-3.07, 4 Al 3.02

(R)
Material: AlCd2As
Method: DFT, GGA-PBEsol
State: optimized geometry

Results
Magnetization ... 0.00 μB per formula unit

abc: 2.8994 5.5357 5.0202
angles: 90.00 94.58 90.00
Closest atoms and distances in Å follow each position.
Space group P2/m (No. 10)
Asymmetric unit:
Al (0.0000, 0.0000, 0.0000)  4 As 2.80-3.00, 2 Al 2.90, 4 Cd 3.10
Cd (0.2607, 0.5000, 0.2480)  6 Cd 2.79-3.05, 2 As 3.10, 2 Al 3.10
As (0.5000, 0.0000, 0.5000)  4 Al 2.80-3.00, 2 As 2.90, 4 Cd 3.10

Stability, highest: (P)

(P)
Material: AlAs2Cl
Method: DFT, GGA-PBEsol
State: optimized geometry

Results
Magnetization ... 0.00 μB per formula unit

abc: 10.9604 2.9594 5.4394
angles: 90.00 104.82 90.00
Closest atoms and distances in Å follow each position.
Space group Cm (No. 8)
Asymmetric unit:
Al (0.0000, 0.0000, 0.0000)  2 Cl 2.37
As (0.1499, 0.5000, 0.3638)  1 As 2.43, 2 Al 2.67
As (0.4837, 0.0000, 0.5869)  1 As 2.43, 2 Al 2.66
Cl (0.3291, 0.0000, 0.9825)  2 Al 2.37

(Q)
Material: AlAs2Cl
Method: DFT, GGA-PBEsol
State: optimized geometry

Results
Magnetization ... 0.00 μB per formula unit

abc: 4.9265 4.9265 3.0121
angles: 90.00 90.00 90.00
Closest atoms and distances in Å follow each position.
Space group P4/mmm (No. 123)
Asymmetric unit:
Al (0.0000, 0.0000, 0.0000)  8 As 2.89, 2 Al 3.01
As (0.0000, 0.5000, 0.5000)  4 Cl 2.89, 4 Al 2.89, 2 As 3.01
Cl (0.5000, 0.5000, 0.0000)  8 As 2.89, 2 Cl 3.01

(R)
Material: AlAs2Cl
Method: DFT, GGA-PBEsol
State: optimized geometry

Results
Magnetization ... 0.00 μB per formula unit

abc: 3.1195 3.3933 7.0871
angles: 90.00 90.00 90.00
Closest atoms and distances in Å follow each position.
Space group Pmmm (No. 47)
Asymmetric unit:
Al (0.0000, 0.0000, 0.0000)  8 As 2.70
As (0.5000, 0.5000, 0.1997)  4 Al 2.70, 1 As 2.83
Cl (0.0000, 0.0000, 0.5000)  4 Cl 3.12-3.39, 8 As 3.14

Stability, highest: (P)